(1)
This record from OQMD via LeMat-Bulk describes a relaxed structure of ZrCdTc. The functional is PBE-GGA.

Cell: 4.567 4.567 4.567 Å, 60.00 60.00 60.00°
Fractional positions:
Cd1 0.250 0.250 0.250
Tc1 0.750 0.750 0.750
Zr1 0.000 0.000 0.000

Values from the calculation:
* space-group type: F-43m, No. 216
* electronic total energy: -0.423 Ry/atom
* crystal system: cubic


(2)
This record from OQMD via LeMat-Bulk describes a relaxed structure of TlCdTe2. The functional is PBE-GGA.

Cell: 5.489 5.489 5.489 Å, 60.00 60.00 60.00°
Fractional positions:
Tl1 0.750 0.750 0.750
Te1 0.000 0.000 0.000
Te2 0.250 0.250 0.250
Cd1 0.500 0.500 0.500

Values from the calculation:
* space-group type: F-43m, No. 216
* electronic total energy: -0.169 Ry/atom
* crystal system: cubic


(3)
This record from OQMD via LeMat-Bulk describes a relaxed structure of TlCdTe2. The functional is PBE-GGA.

Cell: 4.360 4.360 7.604 Å, 90.00 90.00 120.00°
Fractional positions:
Te1 0.667 0.333 0.775
Te2 0.333 0.667 0.225
Tl1 0.000 0.000 0.500
Cd1 0.000 0.000 0.000

Values from the calculation:
* space-group type: P-3m1, No. 164
* electronic total energy: -0.192 Ry/atom
* crystal system: trigonal


(4)
This record from OQMD via LeMat-Bulk describes a relaxed structure of TmTlCdTe3. The functional is PBE-GGA.

Cell: 8.799 4.437 11.159 Å, 90.00 107.92 90.00°
Fractional positions:
Te1 0.258 0.750 0.060
Te2 0.742 0.250 0.940
Te3 0.072 0.250 0.362
Te4 0.445 0.750 0.643
Te5 0.555 0.250 0.357
Te6 0.928 0.750 0.638
Tm1 0.685 0.250 0.640
Tm2 0.315 0.750 0.360
Cd1 0.076 0.250 0.111
Cd2 0.924 0.750 0.889
Tl1 0.747 0.750 0.222
Tl2 0.253 0.250 0.778

Values from the calculation:
* space-group type: P2_1/m, No. 11
* electronic total energy: -0.268 Ry/atom
* crystal system: monoclinic


(5)
This record from OQMD via LeMat-Bulk describes a relaxed structure of TmTlCdTe3. The functional is PBE-GGA.

Cell: 11.631 4.437 15.390 Å, 90.00 90.00 90.00°
Fractional positions:
Cd1 0.240 0.250 0.714
Cd2 0.740 0.250 0.786
Cd3 0.760 0.750 0.286
Cd4 0.260 0.750 0.214
Tl1 0.265 0.250 0.011
Tl2 0.765 0.250 0.489
Tl3 0.735 0.750 0.989
Tl4 0.235 0.750 0.511
Tm1 0.513 0.250 0.252
Tm2 0.987 0.750 0.752
Tm3 0.013 0.250 0.248
Tm4 0.487 0.750 0.748
Te1 0.059 0.750 0.112
Te2 0.738 0.750 0.669
Te3 0.762 0.250 0.169
Te4 0.465 0.750 0.117
Te5 0.965 0.750 0.383
Te6 0.535 0.250 0.883
Te7 0.441 0.250 0.613
Te8 0.035 0.250 0.617
Te9 0.238 0.750 0.831
Te10 0.941 0.250 0.888
Te11 0.262 0.250 0.331
Te12 0.559 0.750 0.387

Values from the calculation:
* space-group type: Pnma, No. 62
* electronic total energy: -0.269 Ry/atom
* crystal system: orthorhombic


(6)
This record from OQMD via LeMat-Bulk describes a relaxed structure of TmTlCdTe3. The functional is PBE-GGA.

Cell: 8.057 8.057 11.638 Å, 90.00 90.00 148.11°
Fractional positions:
Cd1 0.539 0.461 0.250
Cd2 0.461 0.539 0.750
Te1 0.079 0.921 0.750
Te2 0.635 0.365 0.046
Te3 0.365 0.635 0.954
Te4 0.365 0.635 0.546
Te5 0.921 0.079 0.250
Te6 0.635 0.365 0.454
Tl1 0.759 0.241 0.750
Tl2 0.241 0.759 0.250
Tm1 0.000 0.000 0.500
Tm2 0.000 0.000 0.000

Values from the calculation:
* space-group type: Cmcm, No. 63
* electronic total energy: -0.269 Ry/atom
* crystal system: orthorhombic